Material: Mn3O2F4
Method: DFT, GGA+U
State: relaxed

Calculated values
Distance to the lowest polymorph of the same formula (eV per atom): 0.041
ρ (g/cm³): 4.072
Raw total energy (eV per cell): -236.96

Lattice parameters (Å, degrees): 6.8639 20.6947 3.1327 90.00 90.00 90.00
Closest atoms and distances in Å follow each position.
Space group Cmmm (No. 65)
Unique sites:
Mn 0.0000 0.0000 0.0000  4 F 2.13, 2 O 2.15
Mn 0.0000 0.1702 0.5000  1 O 1.95, 5 F 2.06-2.08
Mn 0.0000 0.3232 0.0000  2 O 1.98, 4 F 2.06-2.11
Mn 0.0000 0.5000 0.5000  4 O 2.02
O 0.0000 0.2644 0.5000  3 Mn 1.95-1.98
O 0.1870 0.5000 0.0000  3 Mn 2.02-2.15
F 0.0000 0.0699 0.5000  3 Mn 2.08-2.13
F 0.0000 0.3876 0.5000  2 Mn 2.06
F 0.1953 0.1650 0.0000  3 Mn 2.06-2.11